(1)
# PBE LaNiP3, optimized geometry
# ΔE_f: 1.4490 eV per atom
# Energy: -19.69 eV per cell
# Magnetization: 0.00 μB/f.u.
# DOS at the Fermi energy: 3.4831 states/eV/atom
# Relative energy among the computed polymorphs: 1.842 eV/atom
data_LaNiP3
_symmetry_space_group_name_H-M 'P m -3 m'
_symmetry_Int_Tables_number 221
_symmetry_space_group_name_Hall '-P 4 2 3'
_cell_length_a 5.390
_cell_length_b 5.390
_cell_length_c 5.390
_cell_angle_alpha 90.00
_cell_angle_beta 90.00
_cell_angle_gamma 90.00
loop_
_atom_site_label
_atom_site_fract_x
_atom_site_fract_y
_atom_site_fract_z
La1 0.000 0.000 0.000
Ni1 0.500 0.500 0.500
P1 0.000 0.000 0.500

---

(2)
# PBE Ac2CdInIr, optimized geometry
# ΔE_f: -0.4806 eV per atom
# Energy: -46.27 eV per cell
# Magnetization: 0.00 μB/f.u.
# DOS at the Fermi energy: 0.7804 states/eV/atom
data_Ac2CdInIr
_symmetry_space_group_name_H-M 'P 1 21/m 1'
_symmetry_Int_Tables_number 11
_symmetry_space_group_name_Hall '-P 2yb'
_cell_length_a 8.439
_cell_length_b 4.498
_cell_length_c 8.619
_cell_angle_alpha 90.00
_cell_angle_beta 112.54
_cell_angle_gamma 90.00
loop_
_atom_site_label
_atom_site_fract_x
_atom_site_fract_y
_atom_site_fract_z
Ac1 0.024 0.250 0.228
Ac2 0.338 0.750 0.608
Cd1 0.324 0.750 0.181
In1 0.349 0.250 0.947
Ir1 0.106 0.250 0.621

---

(3)
# PBE Tb4SnRh5, optimized geometry
# ΔE_f: -0.6067 eV per atom
# Energy: -130.70 eV per cell
# Magnetization: 0.00 μB/f.u.
# DOS at the Fermi energy: 0.5577 states/eV/atom
data_Tb4SnRh5
_symmetry_space_group_name_H-M 'I 4'
_symmetry_Int_Tables_number 79
_symmetry_space_group_name_Hall 'I 4'
_cell_length_a 8.689
_cell_length_b 8.689
_cell_length_c 5.608
_cell_angle_alpha 90.00
_cell_angle_beta 90.00
_cell_angle_gamma 90.00
loop_
_atom_site_label
_atom_site_fract_x
_atom_site_fract_y
_atom_site_fract_z
Tb1 0.084 0.694 0.000
Sn1 0.000 0.000 0.695
Rh1 0.000 0.000 0.169
Rh2 0.097 0.743 0.491

---

(4)
# PBE GdTiOs2, optimized geometry
# ΔE_f: -0.2588 eV per atom
# Energy: -45.47 eV per cell
# Magnetization: 7.04 μB/f.u.
# DOS at the Fermi energy: 0.7062 states/eV/atom
data_GdTiOs2
_symmetry_space_group_name_H-M 'P 4/m m m'
_symmetry_Int_Tables_number 123
_symmetry_space_group_name_Hall '-P 4 2'
_cell_length_a 3.198
_cell_length_b 3.198
_cell_length_c 6.815
_cell_angle_alpha 90.00
_cell_angle_beta 90.00
_cell_angle_gamma 90.00
loop_
_atom_site_label
_atom_site_fract_x
_atom_site_fract_y
_atom_site_fract_z
Gd1 0.000 0.000 0.000
Ti1 0.000 0.000 0.500
Os1 0.500 0.500 0.285

---

(5)
# PBE Hf2MgCl, optimized geometry
# Energy: -87.77 eV per cell
# Magnetization: 0.00 μB/f.u.
# DOS at the Fermi energy: 1.8992 states/eV/atom
# Relative energy among the computed polymorphs: 0.084 eV/atom
# Uncorrected formation energy: 0.352 eV per atom
data_Hf2MgCl
_symmetry_space_group_name_H-M 'F m -3 m'
_symmetry_Int_Tables_number 225
_symmetry_space_group_name_Hall '-F 4 2 3'
_cell_length_a 6.925
_cell_length_b 6.925
_cell_length_c 6.925
_cell_angle_alpha 90.00
_cell_angle_beta 90.00
_cell_angle_gamma 90.00
loop_
_atom_site_label
_atom_site_fract_x
_atom_site_fract_y
_atom_site_fract_z
Hf1 0.250 0.250 0.250
Mg1 0.000 0.000 0.000
Cl1 0.000 0.000 0.500

---

(6)
# PBE NaGeBi2, optimized geometry
# ΔE_f: 0.0462 eV per atom
# Energy: -40.54 eV per cell
# Magnetization: 0.00 μB/f.u.
# DOS at the Fermi energy: 0.6721 states/eV/atom
data_NaGeBi2
_symmetry_space_group_name_H-M 'R 3 m'
_symmetry_Int_Tables_number 160
_symmetry_space_group_name_Hall 'R 3 -2"'
_cell_length_a 3.9219
_cell_length_b 3.9219
_cell_length_c 26.7273
_cell_angle_alpha 90.00
_cell_angle_beta 90.00
_cell_angle_gamma 120.00
loop_
_atom_site_label
_atom_site_fract_x
_atom_site_fract_y
_atom_site_fract_z
Na1 0.0000 0.0000 0.0000
Ge1 0.0000 0.0000 0.1663
Bi1 0.0000 0.0000 0.5715
Bi2 0.0000 0.0000 0.7620

---

(7)
# PBE TaNi2Ru, optimized geometry
# ΔE_f: 0.2349 eV per atom
# Energy: -127.01 eV per cell
# Magnetization: 0.00 μB/f.u.
# DOS at the Fermi energy: 1.1262 states/eV/atom
# Relative energy among the computed polymorphs: 0.559 eV/atom
data_TaNi2Ru
_symmetry_space_group_name_H-M 'I -4 2 d'
_symmetry_Int_Tables_number 122
_symmetry_space_group_name_Hall 'I -4 2bw'
_cell_length_a 3.620
_cell_length_b 3.620
_cell_length_c 17.801
_cell_angle_alpha 90.00
_cell_angle_beta 90.00
_cell_angle_gamma 90.00
loop_
_atom_site_label
_atom_site_fract_x
_atom_site_fract_y
_atom_site_fract_z
Ta1 0.000 0.000 0.000
Ni1 0.239 0.250 0.625
Ru1 0.000 0.000 0.500

---

(8)
# PBE PrRe3Si3, optimized geometry
# Energy: -111.68 eV per cell
# Magnetization: 0.06 μB/f.u.
# DOS at the Fermi energy: 1.0554 states/eV/atom
# Relative energy among the computed polymorphs: 0.591 eV/atom
# Uncorrected formation energy: 0.364 eV per atom
data_PrRe3Si3
_symmetry_space_group_name_H-M 'P m -3 n'
_symmetry_Int_Tables_number 223
_symmetry_space_group_name_Hall '-P 4n 2 3'
_cell_length_a 6.633
_cell_length_b 6.633
_cell_length_c 6.633
_cell_angle_alpha 90.00
_cell_angle_beta 90.00
_cell_angle_gamma 90.00
loop_
_atom_site_label
_atom_site_fract_x
_atom_site_fract_y
_atom_site_fract_z
Pr1 0.000 0.000 0.000
Re1 0.000 0.250 0.500
Si1 0.000 0.500 0.250

---

(9)
# PBE MgNb2GaN, optimized geometry
# Energy: -20.82 eV per cell
# Magnetization: 1.11 μB/f.u.
# DOS at the Fermi energy: 1.1963 states/eV/atom
# Uncorrected formation energy: 2.453 eV per atom
data_MgNb2GaN
_symmetry_space_group_name_H-M 'P 4/m m m'
_symmetry_Int_Tables_number 123
_symmetry_space_group_name_Hall '-P 4 2'
_cell_length_a 4.821
_cell_length_b 4.821
_cell_length_c 4.391
_cell_angle_alpha 90.00
_cell_angle_beta 90.00
_cell_angle_gamma 90.00
loop_
_atom_site_label
_atom_site_fract_x
_atom_site_fract_y
_atom_site_fract_z
Mg1 0.000 0.000 0.000
Nb1 0.000 0.500 0.000
Ga1 0.000 0.000 0.500
N1 0.500 0.500 0.500

---

(10)
# PBE MoP, optimized geometry
# ΔE_f: -0.4185 eV per atom
# Energy: -68.31 eV per cell
# Magnetization: 0.00 μB/f.u.
# DOS at the Fermi energy: 0.5180 states/eV/atom
data_MoP
_symmetry_space_group_name_H-M 'C 1 2/m 1'
_symmetry_Int_Tables_number 12
_symmetry_space_group_name_Hall '-C 2y'
_cell_length_a 8.529
_cell_length_b 3.117
_cell_length_c 4.377
_cell_angle_alpha 90.00
_cell_angle_beta 105.54
_cell_angle_gamma 90.00
loop_
_atom_site_label
_atom_site_fract_x
_atom_site_fract_y
_atom_site_fract_z
Mo1 0.114 0.000 0.305
P1 0.122 0.500 0.829

---

(11)
# PBE RbCr2PIr, optimized geometry
# ΔE_f: 3.2301 eV per atom
# Energy: -18.33 eV per cell
# Magnetization: 0.46 μB/f.u.
# DOS at the Fermi energy: 1.5783 states/eV/atom
data_RbCr2PIr
_symmetry_space_group_name_H-M 'P 4/m m m'
_symmetry_Int_Tables_number 123
_symmetry_space_group_name_Hall '-P 4 2'
_cell_length_a 4.334
_cell_length_b 4.334
_cell_length_c 4.964
_cell_angle_alpha 90.00
_cell_angle_beta 90.00
_cell_angle_gamma 90.00
loop_
_atom_site_label
_atom_site_fract_x
_atom_site_fract_y
_atom_site_fract_z
Rb1 0.000 0.000 0.000
Cr1 0.000 0.500 0.000
P1 0.000 0.000 0.500
Ir1 0.500 0.500 0.500

---

(12)
# PBE CeTm2W2C4, optimized geometry
# ΔE_f: -0.0769 eV per atom
# Energy: -156.74 eV per cell
# Magnetization: 0.01 μB/f.u.
# DOS at the Fermi energy: 0.5780 states/eV/atom
data_CeTm2W2C4
_symmetry_space_group_name_H-M 'C 1 2/m 1'
_symmetry_Int_Tables_number 12
_symmetry_space_group_name_Hall '-C 2y'
_cell_length_a 13.845
_cell_length_b 3.301
_cell_length_c 6.052
_cell_angle_alpha 90.00
_cell_angle_beta 113.02
_cell_angle_gamma 90.00
loop_
_atom_site_label
_atom_site_fract_x
_atom_site_fract_y
_atom_site_fract_z
Ce1 0.000 0.000 0.000
Tm1 0.146 0.000 0.526
W1 0.171 0.500 0.976
C1 0.021 0.500 0.628
C2 0.226 0.000 0.231

---

(13)
# PBE Dy6P3PbS2, optimized geometry
# Energy: -148.87 eV per cell
# Magnetization: 0.00 μB/f.u.
# DOS at the Fermi energy: 0.2105 states/eV/atom
# Uncorrected formation energy: -1.552 eV per atom
data_Dy6P3PbS2
_symmetry_space_group_name_H-M 'C 1 2/m 1'
_symmetry_Int_Tables_number 12
_symmetry_space_group_name_Hall '-C 2y'
_cell_length_a 17.695
_cell_length_b 4.001
_cell_length_c 8.215
_cell_angle_alpha 90.00
_cell_angle_beta 103.43
_cell_angle_gamma 90.00
loop_
_atom_site_label
_atom_site_fract_x
_atom_site_fract_y
_atom_site_fract_z
Dy1 0.000 0.000 0.227
Dy2 0.165 0.500 0.090
Dy3 0.175 0.500 0.583
P1 0.000 0.500 0.000
P2 0.166 0.000 0.331
Pb1 0.000 0.500 0.500
S1 0.170 0.000 0.840

---

(14)
# PBE Rb2TcPtF6, optimized geometry
# Energy: -96.04 eV per cell
# Magnetization: 3.00 μB/f.u.
# DOS at the Fermi energy: 0.0000 states/eV/atom
# Uncorrected formation energy: -1.845 eV per atom
data_Rb2TcPtF6
_symmetry_space_group_name_H-M 'I 4/m m m'
_symmetry_Int_Tables_number 139
_symmetry_space_group_name_Hall '-I 4 2'
_cell_length_a 7.138
_cell_length_b 7.138
_cell_length_c 8.052
_cell_angle_alpha 90.00
_cell_angle_beta 90.00
_cell_angle_gamma 90.00
loop_
_atom_site_label
_atom_site_fract_x
_atom_site_fract_y
_atom_site_fract_z
Rb1 0.000 0.500 0.250
Tc1 0.000 0.000 0.000
Pt1 0.000 0.000 0.500
F1 0.000 0.000 0.248
F2 0.196 0.196 0.000

---

(15)
# PBE CoCl, optimized geometry
# Energy: -18.32 eV per cell
# Magnetization: 2.00 μB/f.u.
# DOS at the Fermi energy: 0.3577 states/eV/atom
# Uncorrected formation energy: -0.105 eV per atom
data_CoCl
_symmetry_space_group_name_H-M 'P 3 m 1'
_symmetry_Int_Tables_number 156
_symmetry_space_group_name_Hall 'P 3 -2"'
_cell_length_a 3.5255
_cell_length_b 3.5255
_cell_length_c 7.2720
_cell_angle_alpha 90.00
_cell_angle_beta 90.00
_cell_angle_gamma 120.00
loop_
_atom_site_label
_atom_site_fract_x
_atom_site_fract_y
_atom_site_fract_z
Co1 0.0000 0.0000 0.0000
Co2 0.3333 0.6667 0.1555
Cl1 0.0000 0.0000 0.3303
Cl2 0.6667 0.3333 0.8155

---

(16)
# PBE LiSeSN2, optimized geometry
# Energy: -17.39 eV per cell
# Magnetization: 2.50 μB/f.u.
# DOS at the Fermi energy: 0.6030 states/eV/atom
# Relative energy among the computed polymorphs: 0.662 eV/atom
# Uncorrected formation energy: 1.757 eV per atom
data_LiSeSN2
_symmetry_space_group_name_H-M 'P 4/m m m'
_symmetry_Int_Tables_number 123
_symmetry_space_group_name_Hall '-P 4 2'
_cell_length_a 3.599
_cell_length_b 3.599
_cell_length_c 6.541
_cell_angle_alpha 90.00
_cell_angle_beta 90.00
_cell_angle_gamma 90.00
loop_
_atom_site_label
_atom_site_fract_x
_atom_site_fract_y
_atom_site_fract_z
Li1 0.000 0.000 0.000
Se1 0.000 0.000 0.500
S1 0.500 0.500 0.500
N1 0.000 0.500 0.000

---

(17)
# PBE ZrMn2Ag, optimized geometry
# ΔE_f: 0.2855 eV per atom
# Energy: -57.19 eV per cell
# Magnetization: 6.09 μB/f.u.
# DOS at the Fermi energy: 1.0508 states/eV/atom
# Relative energy among the computed polymorphs: 0.198 eV/atom
data_ZrMn2Ag
_symmetry_space_group_name_H-M 'C 1 2/m 1'
_symmetry_Int_Tables_number 12
_symmetry_space_group_name_Hall '-C 2y'
_cell_length_a 9.472
_cell_length_b 3.086
_cell_length_c 4.962
_cell_angle_alpha 90.00
_cell_angle_beta 106.74
_cell_angle_gamma 90.00
loop_
_atom_site_label
_atom_site_fract_x
_atom_site_fract_y
_atom_site_fract_z
Zr1 0.000 0.000 0.000
Mn1 0.246 0.000 0.752
Ag1 0.000 0.500 0.500

---

(18)
# PBE KLiZnBi2, optimized geometry
# ΔE_f: -0.2785 eV per atom
# Energy: -26.88 eV per cell
# Magnetization: 0.00 μB/f.u.
# DOS at the Fermi energy: 0.2953 states/eV/atom
data_KLiZnBi2
_symmetry_space_group_name_H-M 'I -4 m 2'
_symmetry_Int_Tables_number 119
_symmetry_space_group_name_Hall 'I -4 -2'
_cell_length_a 4.969
_cell_length_b 4.969
_cell_length_c 12.034
_cell_angle_alpha 90.00
_cell_angle_beta 90.00
_cell_angle_gamma 90.00
loop_
_atom_site_label
_atom_site_fract_x
_atom_site_fract_y
_atom_site_fract_z
K1 0.000 0.000 0.000
Li1 0.000 0.500 0.750
Zn1 0.000 0.500 0.250
Bi1 0.000 0.000 0.371

---

(19)
# PBE Na2InNi2, optimized geometry
# ΔE_f: 0.1702 eV per atom
# Energy: -32.18 eV per cell
# Magnetization: 0.00 μB/f.u.
# DOS at the Fermi energy: 0.4221 states/eV/atom
data_Na2InNi2
_symmetry_space_group_name_H-M 'P 4/m b m'
_symmetry_Int_Tables_number 127
_symmetry_space_group_name_Hall '-P 4 2ab'
_cell_length_a 6.412
_cell_length_b 6.412
_cell_length_c 4.865
_cell_angle_alpha 90.00
_cell_angle_beta 90.00
_cell_angle_gamma 90.00
loop_
_atom_site_label
_atom_site_fract_x
_atom_site_fract_y
_atom_site_fract_z
Na1 0.173 0.327 0.000
In1 0.000 0.000 0.500
Ni1 0.125 0.625 0.500

---

(20)
# PBE PmNd2Ho, optimized geometry
# ΔE_f: 0.1296 eV per atom
# Energy: -73.38 eV per cell
# Magnetization: 0.00 μB/f.u.
# DOS at the Fermi energy: 2.3252 states/eV/atom
# Relative energy among the computed polymorphs: 0.116 eV/atom
data_PmNd2Ho
_symmetry_space_group_name_H-M 'F m -3 m'
_symmetry_Int_Tables_number 225
_symmetry_space_group_name_Hall '-F 4 2 3'
_cell_length_a 8.170
_cell_length_b 8.170
_cell_length_c 8.170
_cell_angle_alpha 90.00
_cell_angle_beta 90.00
_cell_angle_gamma 90.00
loop_
_atom_site_label
_atom_site_fract_x
_atom_site_fract_y
_atom_site_fract_z
Pm1 0.000 0.000 0.000
Nd1 0.250 0.250 0.250
Ho1 0.000 0.000 0.500